A relaxed structure of Ho4Cd3Hg2, computed with PBE.

CIF file:
```
data_Ho4Cd3Hg2
_cell_length_a 5.1651
_cell_length_b 5.1651
_cell_length_c 9.8410
_cell_angle_alpha 90.00
_cell_angle_beta 90.00
_cell_angle_gamma 120.00
_space_group_name_H-M_alt 'P -3 m 1'
_space_group_IT_number 164
_space_group_name_Hall '-P 3 2"'
loop_
_atom_site_label
_atom_site_fract_x
_atom_site_fract_y
_atom_site_fract_z
Ho1 0.0000 0.0000 0.1713
Ho2 0.3333 0.6667 0.6182
Cd1 0.0000 0.0000 0.5000
Cd2 0.3333 0.6667 0.9733
Hg1 0.3333 0.6667 0.3033
```

Values from the calculation:
M_tot = 0.000 Bohr magnetons per cell
E_form = -3.0 eV/f.u.
raw total energy = -2.744 eV/atom
theoretical density = 10.21 g/cm³

A relaxed structure of CaTl2Ag, computed with PBE.

CIF file:
```
data_CaTl2Ag
_cell_length_a 11.152
_cell_length_b 3.889
_cell_length_c 5.615
_cell_angle_alpha 90.00
_cell_angle_beta 118.47
_cell_angle_gamma 90.00
_space_group_name_H-M_alt 'C 1 2/m 1'
_space_group_IT_number 12
loop_
_space_group_symop_operation_xyz
'x,y,z'
'-x,-y,-z'
'-x,y,-z'
'x,-y,z'
'x+1/2,y+1/2,z'
'-x+1/2,-y+1/2,-z'
'-x+1/2,y+1/2,-z'
'x+1/2,-y+1/2,z'
loop_
_atom_site_label
_atom_site_fract_x
_atom_site_fract_y
_atom_site_fract_z
Ca1 0.000 0.000 0.000
Tl1 0.228 0.000 0.728
Ag1 0.000 0.500 0.500
```

Values from the calculation:
M_tot = 0.000 Bohr magnetons per cell
E_form = -0.7 eV/f.u.
raw total energy = -2.568 eV/atom
theoretical density = 8.64 g/cm³

A relaxed structure of Li2CdHg5, computed with PBE.

CIF file:
```
data_Li2CdHg5
_cell_length_a 7.834
_cell_length_b 7.834
_cell_length_c 11.601
_cell_angle_alpha 90.00
_cell_angle_beta 90.00
_cell_angle_gamma 90.00
_space_group_name_H-M_alt 'I 4/m c m'
_space_group_IT_number 140
_space_group_name_Hall '-I 4 2c'
loop_
_atom_site_label
_atom_site_fract_x
_atom_site_fract_y
_atom_site_fract_z
Li1 0.145 0.355 0.000
Cd1 0.000 0.000 0.250
Hg1 0.000 0.000 0.000
Hg2 0.150 0.350 0.347
```

Values from the calculation:
M_tot = 0.000 Bohr magnetons per cell
E_form = -1.3 eV/f.u.
raw total energy = -0.945 eV/atom
theoretical density = 10.54 g/cm³

A relaxed structure of RbAl2Pd, computed with PBE.

CIF file:
```
data_RbAl2Pd
_cell_length_a 7.035
_cell_length_b 7.035
_cell_length_c 7.035
_cell_angle_alpha 90.00
_cell_angle_beta 90.00
_cell_angle_gamma 90.00
_space_group_name_H-M_alt 'F m -3 m'
_space_group_IT_number 225
_space_group_name_Hall '-F 4 2 3'
loop_
_atom_site_label
_atom_site_fract_x
_atom_site_fract_y
_atom_site_fract_z
Rb1 0.000 0.000 0.000
Al1 0.250 0.250 0.250
Pd1 0.000 0.000 0.500
```

Values from the calculation:
M_tot = 0.000 Bohr magnetons per cell
E_form = 1.6 eV/f.u.
raw total energy = -3.007 eV/atom
theoretical density = 4.69 g/cm³

A relaxed structure of KBaHoBr6, computed with PBE.

CIF file:
```
data_KBaHoBr6
_cell_length_a 7.9629
_cell_length_b 7.9629
_cell_length_c 13.6810
_cell_angle_alpha 90.00
_cell_angle_beta 90.00
_cell_angle_gamma 120.00
_space_group_name_H-M_alt 'P -3 1 c'
_space_group_IT_number 163
_space_group_name_Hall '-P 3 2c'
loop_
_atom_site_label
_atom_site_fract_x
_atom_site_fract_y
_atom_site_fract_z
K1 0.0000 0.0000 0.0000
Ba1 0.3333 0.6667 0.2500
Ho1 0.3333 0.6667 0.7500
Br1 0.0423 0.3817 0.6318
```

Values from the calculation:
M_tot = 0.000 Bohr magnetons per cell
energy relative to the elements, uncorrected = -1957.6 meV per atom
raw total energy = -3.917 eV/atom
theoretical density = 3.63 g/cm³

A relaxed structure of FeIr2Pd, computed with PBE.

CIF file:
```
data_FeIr2Pd
_cell_length_a 3.852
_cell_length_b 3.852
_cell_length_c 3.833
_cell_angle_alpha 90.00
_cell_angle_beta 90.00
_cell_angle_gamma 90.00
_space_group_name_H-M_alt 'P 4/m m m'
_space_group_IT_number 123
_space_group_name_Hall '-P 4 2'
loop_
_atom_site_label
_atom_site_fract_x
_atom_site_fract_y
_atom_site_fract_z
Fe1 0.000 0.000 0.000
Ir1 0.000 0.500 0.500
Pd1 0.500 0.500 0.000
```

Values from the calculation:
M_tot = 3.660 Bohr magnetons per cell
E_form = 0.2 eV/f.u.
raw total energy = -7.796 eV/atom
theoretical density = 15.96 g/cm³

A relaxed structure of LaPmNdMg, computed with PBE.

CIF file:
```
data_LaPmNdMg
_cell_length_a 3.788
_cell_length_b 3.788
_cell_length_c 9.092
_cell_angle_alpha 90.00
_cell_angle_beta 90.00
_cell_angle_gamma 90.00
_space_group_name_H-M_alt 'P 4 m m'
_space_group_IT_number 99
loop_
_space_group_symop_operation_xyz
'x,y,z'
'-y,x,z'
'-x,-y,z'
'y,-x,z'
'-x,y,z'
'y,x,z'
'x,-y,z'
'-y,-x,z'
loop_
_atom_site_label
_atom_site_fract_x
_atom_site_fract_y
_atom_site_fract_z
La1 0.000 0.000 0.000
Pm1 0.500 0.500 0.724
Nd1 0.500 0.500 0.279
Mg1 0.000 0.000 0.503
```

Values from the calculation:
M_tot = 0.000 Bohr magnetons per cell
E_form = -0.2 eV/f.u.
raw total energy = -4.051 eV/atom
theoretical density = 5.76 g/cm³

A relaxed structure of Ho2PbO5, computed with PBE.

CIF file:
```
data_Ho2PbO5
_cell_length_a 9.693
_cell_length_b 6.639
_cell_length_c 6.275
_cell_angle_alpha 90.00
_cell_angle_beta 90.00
_cell_angle_gamma 90.00
_space_group_name_H-M_alt 'P n m a'
_space_group_IT_number 62
loop_
_space_group_symop_operation_xyz
'x,y,z'
'-x,-y,-z'
'-x+1/2,-y,z+1/2'
'x+1/2,y,-z+1/2'
'x+1/2,-y+1/2,-z+1/2'
'-x+1/2,y+1/2,z+1/2'
'-x,y+1/2,-z'
'x,-y+1/2,z'
loop_
_atom_site_label
_atom_site_fract_x
_atom_site_fract_y
_atom_site_fract_z
Ho1 0.169 0.000 0.022
Pb1 0.000 0.250 0.498
O1 0.000 0.250 0.001
O2 0.102 0.001 0.665
O3 0.199 0.750 0.323
O4 0.200 0.250 0.322
```

Values from the calculation:
M_tot = 0.000 Bohr magnetons per cell
energy relative to the elements, uncorrected = -2535.1 meV per atom
raw total energy = -7.242 eV/atom
theoretical density = 10.15 g/cm³

A relaxed structure of CdAsIN2, computed with PBE.

CIF file:
```
data_CdAsIN2
_cell_length_a 4.298
_cell_length_b 4.298
_cell_length_c 6.909
_cell_angle_alpha 90.00
_cell_angle_beta 90.00
_cell_angle_gamma 90.00
_space_group_name_H-M_alt 'P 4/m m m'
_space_group_IT_number 123
_space_group_name_Hall '-P 4 2'
loop_
_atom_site_label
_atom_site_fract_x
_atom_site_fract_y
_atom_site_fract_z
Cd1 0.000 0.000 0.000
As1 0.500 0.500 0.500
I1 0.000 0.000 0.500
N1 0.000 0.500 0.000
```

Values from the calculation:
M_tot = 4.040 Bohr magnetons per cell
energy relative to the elements, uncorrected = 1815.0 meV per atom
raw total energy = -2.938 eV/atom
theoretical density = 4.45 g/cm³

A relaxed structure of Tb2Tl3PbSe6, computed with PBE.

CIF file:
```
data_Tb2Tl3PbSe6
_cell_length_a 19.553
_cell_length_b 4.232
_cell_length_c 9.013
_cell_angle_alpha 90.00
_cell_angle_beta 106.67
_cell_angle_gamma 90.00
_space_group_name_H-M_alt 'C 1 2/m 1'
_space_group_IT_number 12
loop_
_space_group_symop_operation_xyz
'x,y,z'
'-x,-y,-z'
'-x,y,-z'
'x,-y,z'
'x+1/2,y+1/2,z'
'-x+1/2,-y+1/2,-z'
'-x+1/2,y+1/2,-z'
'x+1/2,-y+1/2,z'
loop_
_atom_site_label
_atom_site_fract_x
_atom_site_fract_y
_atom_site_fract_z
Tb1 0.169 0.000 0.335
Tl1 0.000 0.500 0.500
Tl2 0.166 0.000 0.834
Pb1 0.000 0.500 0.000
Se1 0.014 0.000 0.252
Se2 0.164 0.500 0.114
Se3 0.176 0.500 0.560
```

Values from the calculation:
M_tot = 0.000 Bohr magnetons per cell
energy relative to the elements, uncorrected = -1047.7 meV per atom
raw total energy = -4.462 eV/atom
theoretical density = 7.49 g/cm³

A relaxed structure of ScFe2Pb, computed with PBE.

CIF file:
```
data_ScFe2Pb
_cell_length_a 3.1463
_cell_length_b 3.1463
_cell_length_c 26.4743
_cell_angle_alpha 90.00
_cell_angle_beta 90.00
_cell_angle_gamma 120.00
_space_group_name_H-M_alt 'R -3 m'
_space_group_IT_number 166
_space_group_name_Hall '-R 3 2"'
loop_
_atom_site_label
_atom_site_fract_x
_atom_site_fract_y
_atom_site_fract_z
Sc1 0.0000 0.0000 0.0000
Fe1 0.0000 0.0000 0.2527
Pb1 0.0000 0.0000 0.5000
```

Values from the calculation:
M_tot = 14.023 Bohr magnetons per cell
E_form = 2.0 eV/f.u.
raw total energy = -6.241 eV/atom
theoretical density = 7.99 g/cm³

A relaxed structure of NiAuBr2, computed with PBE.

CIF file:
```
data_NiAuBr2
_cell_length_a 4.735
_cell_length_b 3.640
_cell_length_c 6.521
_cell_angle_alpha 90.00
_cell_angle_beta 99.59
_cell_angle_gamma 90.00
_space_group_name_H-M_alt 'P 1 m 1'
_space_group_IT_number 6
loop_
_space_group_symop_operation_xyz
'x,y,z'
'x,-y,z'
loop_
_atom_site_label
_atom_site_fract_x
_atom_site_fract_y
_atom_site_fract_z
Ni1 0.000 0.000 0.000
Au1 0.263 0.500 0.836
Br1 0.611 0.000 0.710
Br2 0.959 0.500 0.226
```

Values from the calculation:
M_tot = 0.821 Bohr magnetons per cell
energy relative to the elements, uncorrected = 3.0 meV per atom
raw total energy = -3.098 eV/atom
theoretical density = 6.22 g/cm³